Entry 1:
SiHAu2I GGA-PBE optimized geometry; electronic total energy = -3.33 eV per atom; density of states at the Fermi level = 2.42 states/eV/f.u.; size of the total moment = 0.024 μB/atom; excess energy over the best structure of this formula in the dataset = 0.08 eV/f.u.
1.0
3.242 0.000 0.000
1.614 5.031 0.000
1.611 1.249 7.477
Si H Au I
1 1 2 1
Direct
0.000 0.000 0.000
0.112 0.969 0.807
0.304 0.346 0.048
0.547 0.718 0.190
0.464 0.512 0.558

Entry 2:
TlHAuI2 GGA-PBE optimized geometry; electronic total energy = -2.53 eV per atom; density of states at the Fermi level = 0.60 states/eV/f.u.; size of the total moment = 0.000 μB/atom
1.0
5.933 0.000 0.000
0.000 5.933 0.000
0.000 0.000 3.821
Tl H Au I
1 1 1 2
Direct
0.000 0.000 0.000
0.500 0.500 0.000
0.500 0.500 0.500
0.000 0.500 0.500
0.500 0.000 0.500

Entry 3:
Tl2HAuI GGA-PBE optimized geometry; electronic total energy = -2.73 eV per atom; density of states at the Fermi level = 1.14 states/eV/f.u.; size of the total moment = 0.000 μB/atom
1.0
5.993 0.000 0.000
0.000 5.993 0.000
0.000 0.000 3.760
Tl H Au I
2 1 1 1
Direct
0.000 0.500 0.000
0.500 0.000 0.000
0.000 0.000 0.500
0.000 0.000 0.000
0.500 0.500 0.500

Entry 4:
InH2Au2 GGA-PBE optimized geometry; electronic total energy = -3.04 eV per atom; density of states at the Fermi level = 1.04 states/eV/f.u.; size of the total moment = 0.000 μB/atom; excess energy over the best structure of this formula in the dataset = 0.06 eV/f.u.
1.0
7.192 0.000 0.000
0.000 7.192 0.000
0.000 0.000 3.544
In H Au
2 4 4
Direct
0.000 0.000 0.000
0.500 0.500 0.000
0.142 0.358 0.500
0.358 0.858 0.500
0.642 0.142 0.500
0.858 0.642 0.500
0.141 0.359 0.000
0.359 0.859 0.000
0.641 0.141 0.000
0.859 0.641 0.000